{
  "formula": "CaV3O8",
  "functional": "PBE+U",
  "state": "relaxed",
  "lattice_angstrom": [[3.5809, 0.0000, -1.0544], [-0.4911, 7.0528, -1.6679], [-0.0543, 0.2070, 6.4234]],
  "species": ["Ca", "V", "V", "V", "O", "O", "O", "O", "O", "O", "O", "O"],
  "fractional_positions": [[0.3045, 0.6813, 0.6090], [0.3954, 0.2391, 0.7907], [0.6953, 0.2758, 0.3906], [0.6137, 0.7634, 0.2275], [0.4812, 0.6513, 0.9625], [0.3678, 0.0062, 0.7356], [0.8627, 0.2930, 0.7253], [0.2440, 0.3351, 0.4879], [0.7088, 0.6009, 0.4176], [0.1340, 0.7879, 0.2680], [0.5375, 0.3011, 0.0750], [0.6534, 0.0346, 0.3068]],
  "total_energy_ev_per_atom": -7.39,
  "total_magnetization_mub_per_fu": 1.00
}